Entry 1:
A plane-wave DFT calculation with PBE was carried out for an optimized crystal structure of GdPa3.

abc: 7.4655 7.4655 7.4655
angles: 90.00 90.00 90.00
Space group Fm-3m (No. 225)
One atom of each set of equivalent atoms:
1 Gd 0.0000 0.0000 0.0000 (multiplicity 4)
2 Pa 0.0000 0.0000 0.5000 (multiplicity 4)
3 Pa 0.2500 0.2500 0.2500 (multiplicity 8)

D(E_F) ... 40.72 states/eV per cell
Final energy ... -10.266 eV per atom
Excess energy over the best structure of this formula in the dataset ... 218.6 meV per atom
Formation enthalpy at 0 K ... 145 kJ/mol of formula units

***

Entry 2:
A plane-wave DFT calculation with PBE was carried out for an optimized crystal structure of RbC3N.

abc: 6.1581 6.1581 6.1581
angles: 90.00 90.00 90.00
Space group Pm-3m (No. 221)
One atom of each set of equivalent atoms:
1 Rb 0.0000 0.0000 0.0000 (multiplicity 1)
2 C 0.0000 0.0000 0.5000 (multiplicity 3)
3 N 0.5000 0.5000 0.5000 (multiplicity 1)

D(E_F) ... 17.29 states/eV per cell
Final energy ... -2.385 eV per atom
Excess energy over the best structure of this formula in the dataset ... 1290.0 meV per atom
Formation energy without anion corrections ... 25.038 eV per formula unit

***

Entry 3:
A plane-wave DFT calculation with PBE was carried out for an optimized crystal structure of Cu6Pd8Au.

abc: 9.6039 9.6039 2.7913
angles: 90.00 90.00 120.00
Space group P-3 (No. 147)
One atom of each set of equivalent atoms:
1 Cu 0.0911 0.4818 0.2433 (multiplicity 6)
2 Pd 0.0873 0.7755 0.2726 (multiplicity 6)
3 Pd 0.3333 0.6667 0.7446 (multiplicity 2)
4 Au 0.0000 0.0000 0.0000 (multiplicity 1)

D(E_F) ... 16.44 states/eV per cell
Final energy ... -4.563 eV per atom
Excess energy over the best structure of this formula in the dataset ... 0.0 meV per atom
Formation enthalpy at 0 K ... 91 kJ/mol of formula units

***

Entry 4:
A plane-wave DFT calculation with PBE was carried out for an optimized crystal structure of YAg2Te.

abc: 11.0039 4.1058 4.4172
angles: 90.00 95.70 90.00
Space group C2/m (No. 12)
One atom of each set of equivalent atoms:
1 Y 0.0000 0.0000 0.0000 (multiplicity 2)
2 Ag 0.2363 0.5000 0.2266 (multiplicity 4)
3 Te 0.0000 0.5000 0.5000 (multiplicity 2)

D(E_F) ... 4.58 states/eV per cell
Final energy ... -4.213 eV per atom
Formation energy without anion corrections ... -1.542 eV per formula unit

***

Entry 5:
A plane-wave DFT calculation with PBE was carried out for an optimized crystal structure of VSbTe2S.

abc: 5.0229 5.0229 5.1752
angles: 90.00 90.00 90.00
Space group P4/mmm (No. 123)
One atom of each set of equivalent atoms:
1 V 0.0000 0.0000 0.0000 (multiplicity 1)
2 Sb 0.0000 0.0000 0.5000 (multiplicity 1)
3 Te 0.0000 0.5000 0.0000 (multiplicity 2)
4 S 0.5000 0.5000 0.5000 (multiplicity 1)

D(E_F) ... 2.77 states/eV per cell
Final energy ... -4.349 eV per atom
Excess energy over the best structure of this formula in the dataset ... 0.0 meV per atom
Formation energy without anion corrections ... 1.907 eV per formula unit

***

Entry 6:
A plane-wave DFT calculation with PBE was carried out for an optimized crystal structure of AlSiF2.

abc: 2.7850 2.7850 23.0133
angles: 90.00 90.00 120.00
Space group R-3m (No. 166, hexagonal axes)
One atom of each set of equivalent atoms:
1 Al 0.0000 0.0000 0.0000 (multiplicity 3)
2 Si 0.0000 0.0000 0.5000 (multiplicity 3)
3 F 0.0000 0.0000 0.0800 (multiplicity 6)

D(E_F) ... 1.54 states/eV per cell
Final energy ... -4.649 eV per atom
Excess energy over the best structure of this formula in the dataset ... 2.0 meV per atom
Formation energy without anion corrections ... -5.689 eV per formula unit

***

Entry 7:
A plane-wave DFT calculation with PBE was carried out for an optimized crystal structure of SmPt2Pb.

abc: 3.5942 3.5942 6.8480
angles: 90.00 90.00 90.00
Space group P4/mmm (No. 123)
One atom of each set of equivalent atoms:
1 Sm 0.0000 0.0000 0.0000 (multiplicity 1)
2 Pt 0.5000 0.5000 0.2396 (multiplicity 2)
3 Pb 0.0000 0.0000 0.5000 (multiplicity 1)

D(E_F) ... 1.18 states/eV per cell
Final energy ... -5.793 eV per atom
Formation enthalpy at 0 K ... -257 kJ/mol of formula units

***

Entry 8:
A plane-wave DFT calculation with PBE was carried out for an optimized crystal structure of Tb7Cd2Os2.

abc: 8.1461 10.8733 7.1900
angles: 90.00 90.00 90.00
Space group Cmmm (No. 65)
One atom of each set of equivalent atoms:
1 Tb 0.0000 0.0000 0.0000 (multiplicity 2)
2 Tb 0.0000 0.5000 0.2395 (multiplicity 4)
3 Tb 0.2500 0.2500 0.2489 (multiplicity 8)
4 Cd 0.1751 0.0000 0.5000 (multiplicity 4)
5 Os 0.0000 0.2906 0.0000 (multiplicity 4)

D(E_F) ... 21.11 states/eV per cell
Final energy ... -5.297 eV per atom
Excess energy over the best structure of this formula in the dataset ... 63.8 meV per atom
Formation enthalpy at 0 K ... -151 kJ/mol of formula units

***

Entry 9:
A plane-wave DFT calculation with PBE was carried out for an optimized crystal structure of NaCaTbI6.

abc: 7.8618 7.8618 14.4779
angles: 90.00 90.00 120.00
Space group P-31c (No. 163)
One atom of each set of equivalent atoms:
1 Na 0.0000 0.0000 0.0000 (multiplicity 2)
2 Ca 0.3333 0.6667 0.2500 (multiplicity 2)
3 Tb 0.3333 0.6667 0.7500 (multiplicity 2)
4 I 0.0091 0.3558 0.6282 (multiplicity 12)

D(E_F) ... 0.00 states/eV per cell
Final energy ... -3.346 eV per atom
Formation energy without anion corrections ... -12.864 eV per formula unit

***

Entry 10:
A plane-wave DFT calculation with PBE was carried out for an optimized crystal structure of K2MgZn.

abc: 3.9513 3.9513 35.7897
angles: 90.00 90.00 120.00
Space group R-3m (No. 166, hexagonal axes)
One atom of each set of equivalent atoms:
1 K 0.0000 0.0000 0.2429 (multiplicity 6)
2 Mg 0.0000 0.0000 0.0000 (multiplicity 3)
3 Zn 0.0000 0.0000 0.5000 (multiplicity 3)

D(E_F) ... 6.16 states/eV per cell
Final energy ... -0.960 eV per atom
Excess energy over the best structure of this formula in the dataset ... 193.5 meV per atom
Formation enthalpy at 0 K ... 118 kJ/mol of formula units

***

Entry 11:
A plane-wave DFT calculation with PBE was carried out for an optimized crystal structure of Ce2ThPaP4.

abc: 7.0495 4.0706 7.0499
angles: 90.00 109.47 90.00
Space group P2/m (No. 10)
One atom of each set of equivalent atoms:
1 Ce 0.0000 0.0000 0.0000 (multiplicity 1)
2 Ce 0.5000 0.5000 0.0000 (multiplicity 1)
3 Th 0.0000 0.5000 0.5000 (multiplicity 1)
4 Pa 0.5000 0.0000 0.5000 (multiplicity 1)
5 P 0.2577 0.0000 0.7492 (multiplicity 2)
6 P 0.2595 0.5000 0.2560 (multiplicity 2)

D(E_F) ... 11.27 states/eV per cell
Final energy ... -7.774 eV per atom
Formation enthalpy at 0 K ... -1136 kJ/mol of formula units

***

Entry 12:
A plane-wave DFT calculation with PBE was carried out for an optimized crystal structure of Ti2AlHIr.

abc: 3.8524 3.8524 4.2251
angles: 90.00 90.00 90.00
Space group P4/mmm (No. 123)
One atom of each set of equivalent atoms:
1 Ti 0.0000 0.5000 0.0000 (multiplicity 2)
2 Al 0.0000 0.0000 0.5000 (multiplicity 1)
3 H 0.0000 0.0000 0.0000 (multiplicity 1)
4 Ir 0.5000 0.5000 0.5000 (multiplicity 1)

D(E_F) ... 2.69 states/eV per cell
Final energy ... -6.884 eV per atom
Excess energy over the best structure of this formula in the dataset ... 18.8 meV per atom

***

Entry 13:
A plane-wave DFT calculation with PBE was carried out for an optimized crystal structure of TaFeSe2.

abc: 3.2979 3.2979 22.1818
angles: 90.00 90.00 120.00
Space group R-3m (No. 166, hexagonal axes)
One atom of each set of equivalent atoms:
1 Ta 0.0000 0.0000 0.0000 (multiplicity 3)
2 Fe 0.0000 0.0000 0.5000 (multiplicity 3)
3 Se 0.0000 0.0000 0.2489 (multiplicity 6)

D(E_F) ... 12.34 states/eV per cell
Final energy ... -6.893 eV per atom
Excess energy over the best structure of this formula in the dataset ... 453.7 meV per atom
Formation energy without anion corrections ... -0.289 eV per formula unit

***

Entry 14:
A plane-wave DFT calculation with PBE was carried out for an optimized crystal structure of CrTe2I.

abc: 4.4171 4.4171 6.1932
angles: 90.00 90.00 90.00
Space group P4/mmm (No. 123)
One atom of each set of equivalent atoms:
1 Cr 0.0000 0.0000 0.0000 (multiplicity 1)
2 Te 0.0000 0.0000 0.5000 (multiplicity 1)
3 Te 0.5000 0.5000 0.0000 (multiplicity 1)
4 I 0.5000 0.5000 0.5000 (multiplicity 1)

D(E_F) ... 2.55 states/eV per cell
Final energy ... -4.026 eV per atom
Excess energy over the best structure of this formula in the dataset ... 550.9 meV per atom
Formation energy without anion corrections ... 1.352 eV per formula unit

***

Entry 15:
A plane-wave DFT calculation with PBE was carried out for an optimized crystal structure of TbSm4Tm.

abc: 3.5904 6.2184 9.5035
angles: 77.31 79.22 73.47
Space group P-1 (No. 2)
One atom of each set of equivalent atoms:
1 Tb 0.0000 0.0000 0.0000 (multiplicity 1)
2 Sm 0.3344 0.5001 0.8318 (multiplicity 2)
3 Sm 0.3344 0.9975 0.3342 (multiplicity 2)
4 Tm 0.0000 0.5000 0.5000 (multiplicity 1)

D(E_F) ... 8.48 states/eV per cell
Final energy ... -4.646 eV per atom
Excess energy over the best structure of this formula in the dataset ... 0.0 meV per atom
Formation enthalpy at 0 K ... 10 kJ/mol of formula units

***

Entry 16:
A plane-wave DFT calculation with PBE was carried out for an optimized crystal structure of GaBi2Au.

abc: 3.4423 3.4423 8.6156
angles: 90.00 90.00 90.00
Space group P4/mmm (No. 123)
One atom of each set of equivalent atoms:
1 Ga 0.0000 0.0000 0.0000 (multiplicity 1)
2 Bi 0.5000 0.5000 0.2664 (multiplicity 2)
3 Au 0.0000 0.0000 0.5000 (multiplicity 1)

D(E_F) ... 2.19 states/eV per cell
Final energy ... -3.427 eV per atom
Formation enthalpy at 0 K ... 35 kJ/mol of formula units

***

Entry 17:
A plane-wave DFT calculation with PBE was carried out for an optimized crystal structure of Pm2PPt.

abc: 4.1017 4.1017 20.9535
angles: 90.00 90.00 120.00
Space group R-3m (No. 166, hexagonal axes)
One atom of each set of equivalent atoms:
1 Pm 0.0000 0.0000 0.2476 (multiplicity 6)
2 P 0.0000 0.0000 0.5000 (multiplicity 3)
3 Pt 0.0000 0.0000 0.0000 (multiplicity 3)

D(E_F) ... 8.49 states/eV per cell
Final energy ... -6.452 eV per atom
Excess energy over the best structure of this formula in the dataset ... 0.0 meV per atom
Formation enthalpy at 0 K ... -469 kJ/mol of formula units

***

Entry 18:
A plane-wave DFT calculation with PBE was carried out for an optimized crystal structure of Sc2ZnNiH.

abc: 4.5852 4.5852 3.3910
angles: 90.00 90.00 90.00
Space group P4/mmm (No. 123)
One atom of each set of equivalent atoms:
1 Sc 0.0000 0.5000 0.0000 (multiplicity 2)
2 Zn 0.0000 0.0000 0.5000 (multiplicity 1)
3 Ni 0.5000 0.5000 0.5000 (multiplicity 1)
4 H 0.5000 0.5000 0.0000 (multiplicity 1)

D(E_F) ... 2.58 states/eV per cell
Final energy ... -5.064 eV per atom

***

Entry 19:
A plane-wave DFT calculation with PBE was carried out for an optimized crystal structure of La2PrP3.

abc: 4.2562 6.0105 12.7557
angles: 90.00 90.00 90.00
Space group Immm (No. 71)
One atom of each set of equivalent atoms:
1 La 0.0000 0.0000 0.1666 (multiplicity 4)
2 Pr 0.0000 0.0000 0.5000 (multiplicity 2)
3 P 0.0000 0.5000 0.1654 (multiplicity 4)
4 P 0.0000 0.5000 0.5000 (multiplicity 2)

D(E_F) ... 1.14 states/eV per cell
Final energy ... -6.701 eV per atom
Formation enthalpy at 0 K ... -901 kJ/mol of formula units

***

Entry 20:
A plane-wave DFT calculation with PBE was carried out for an optimized crystal structure of Sc6Sn2N.

abc: 6.3593 6.3593 9.0157
angles: 90.00 90.00 90.00
Space group I4/mmm (No. 139)
One atom of each set of equivalent atoms:
1 Sc 0.0000 0.0000 0.2443 (multiplicity 4)
2 Sc 0.2454 0.2454 0.0000 (multiplicity 8)
3 Sn 0.0000 0.5000 0.2500 (multiplicity 4)
4 N 0.0000 0.0000 0.0000 (multiplicity 2)

D(E_F) ... 18.58 states/eV per cell
Final energy ... -6.867 eV per atom
Excess energy over the best structure of this formula in the dataset ... 0.0 meV per atom
Formation energy without anion corrections ... -7.485 eV per formula unit

***

Entry 21:
A plane-wave DFT calculation with PBE was carried out for an optimized crystal structure of KReTe2.

abc: 3.4715 3.4715 9.6001
angles: 90.00 90.00 90.00
Space group P4mm (No. 99)
One atom of each set of equivalent atoms:
1 K 0.0000 0.0000 0.0000 (multiplicity 1)
2 Re 0.5000 0.5000 0.4776 (multiplicity 1)
3 Te 0.0000 0.0000 0.3556 (multiplicity 1)
4 Te 0.5000 0.5000 0.7480 (multiplicity 1)

D(E_F) ... 4.27 states/eV per cell
Final energy ... -4.674 eV per atom
Excess energy over the best structure of this formula in the dataset ... 326.4 meV per atom
Formation energy without anion corrections ... 1.134 eV per formula unit

***

Entry 22:
A plane-wave DFT calculation with PBE was carried out for an optimized crystal structure of Nb2Fe2W.

abc: 7.2531 7.2531 2.8628
angles: 90.00 90.00 90.00
Space group P4/mbm (No. 127)
One atom of each set of equivalent atoms:
1 Nb 0.1538 0.3462 0.0000 (multiplicity 4)
2 Fe 0.1473 0.6473 0.5000 (multiplicity 4)
3 W 0.0000 0.0000 0.0000 (multiplicity 2)

D(E_F) ... 8.21 states/eV per cell
Final energy ... -9.664 eV per atom
Excess energy over the best structure of this formula in the dataset ... 203.0 meV per atom
Formation enthalpy at 0 K ... 164 kJ/mol of formula units

***

Entry 23:
A plane-wave DFT calculation with PBE was carried out for an optimized crystal structure of YScNi2Ru.

abc: 4.6797 4.6797 4.8935
angles: 90.00 90.00 90.00
Space group P4/mmm (No. 123)
One atom of each set of equivalent atoms:
1 Y 0.0000 0.0000 0.0000 (multiplicity 1)
2 Sc 0.5000 0.5000 0.0000 (multiplicity 1)
3 Ni 0.0000 0.5000 0.5000 (multiplicity 2)
4 Ru 0.0000 0.0000 0.5000 (multiplicity 1)

D(E_F) ... 6.79 states/eV per cell
Final energy ... -6.106 eV per atom
Formation enthalpy at 0 K ... 299 kJ/mol of formula units

***

Entry 24:
A plane-wave DFT calculation with PBE was carried out for an optimized crystal structure of ScCu5Pd6.

abc: 4.0687 12.1204 6.9786
angles: 90.00 90.00 90.00
Space group Cmmm (No. 65)
One atom of each set of equivalent atoms:
1 Sc 0.0000 0.0000 0.0000 (multiplicity 2)
2 Cu 0.0000 0.0000 0.5000 (multiplicity 2)
3 Cu 0.0000 0.3274 0.0000 (multiplicity 4)
4 Cu 0.0000 0.3368 0.5000 (multiplicity 4)
5 Pd 0.0000 0.1686 0.2568 (multiplicity 8)
6 Pd 0.0000 0.5000 0.2545 (multiplicity 4)

D(E_F) ... 9.19 states/eV per cell
Final energy ... -5.168 eV per atom
Formation enthalpy at 0 K ... -390 kJ/mol of formula units

***

Entry 25:
A plane-wave DFT calculation with PBE was carried out for an optimized crystal structure of Pb2CBr2N2.

abc: 9.8983 4.2825 8.1330
angles: 90.00 96.57 90.00
Space group C2/m (No. 12)
One atom of each set of equivalent atoms:
1 Pb 0.1943 0.0000 0.2934 (multiplicity 4)
2 C 0.0000 0.5000 0.5000 (multiplicity 2)
3 Br 0.1273 0.0000 0.8418 (multiplicity 4)
4 N 0.1191 0.5000 0.4664 (multiplicity 4)

D(E_F) ... 0.00 states/eV per cell
Final energy ... -5.595 eV per atom
Formation energy without anion corrections ... -2.526 eV per formula unit

***

Entry 26:
A plane-wave DFT calculation with PBE was carried out for an optimized crystal structure of Co4CuBr.

abc: 6.8825 6.8825 6.8825
angles: 90.00 90.00 90.00
Space group F-43m (No. 216)
One atom of each set of equivalent atoms:
1 Co 0.1242 0.1242 0.1242 (multiplicity 16)
2 Cu 0.2500 0.2500 0.7500 (multiplicity 4)
3 Br 0.0000 0.0000 0.5000 (multiplicity 4)

D(E_F) ... 30.10 states/eV per cell
Final energy ... -5.037 eV per atom
Formation energy without anion corrections ... 3.971 eV per formula unit